(1)
{"formula": "LaNd2Dy12", "functional": "PBE", "state": "relaxed", "dos_ef_per_ev_cell": 48.6, "m_tot_mub_per_cell": 0.0, "formation_enthalpy_0k_mev_per_atom": 164, "cell": [[6.501, -1.519, 0.000], [-1.519, 6.501, 0.000], [0.000, 0.000, 25.029]], "species": ["Nd", "Dy", "Dy", "Dy", "Dy", "Dy", "Dy", "Dy", "Dy", "Dy", "Dy", "Dy", "Dy", "Dy", "La", "Dy", "Dy", "Dy", "Nd", "Dy", "Dy", "Dy", "Dy", "Dy", "Dy", "Dy", "La", "Nd", "Dy", "Nd"], "fractional_positions": [[0.000, 0.500, 0.732], [0.751, 0.749, 0.918], [0.739, 0.239, 0.417], [0.239, 0.739, 0.583], [0.237, 0.263, 0.439], [0.763, 0.737, 0.439], [0.751, 0.251, 0.131], [0.249, 0.749, 0.131], [0.000, 0.000, 0.202], [0.500, 0.500, 0.329], [0.263, 0.237, 0.561], [0.749, 0.751, 0.082], [0.500, 0.500, 0.798], [0.000, 0.000, 0.671], [0.000, 0.500, 0.001], [0.251, 0.751, 0.869], [0.251, 0.249, 0.082], [0.749, 0.249, 0.869], [0.500, 0.000, 0.727], [0.500, 0.500, 0.671], [0.000, 0.000, 0.798], [0.261, 0.761, 0.417], [0.737, 0.763, 0.561], [0.000, 0.000, 0.329], [0.761, 0.261, 0.583], [0.500, 0.500, 0.202], [0.500, 0.000, 0.999], [0.000, 0.500, 0.273], [0.249, 0.251, 0.918], [0.500, 0.000, 0.268]]}



(2)
{"formula": "La6Nd2Dy", "functional": "PBE", "state": "relaxed", "dos_ef_per_ev_cell": 17.1, "m_tot_mub_per_cell": 0.0, "formation_enthalpy_0k_mev_per_atom": 56, "cell": [[3.684, 0.000, 0.000], [-1.842, 3.191, 0.000], [0.000, 0.000, 27.740]], "species": ["La", "La", "Dy", "La", "La", "La", "Nd", "Nd", "La"], "fractional_positions": [[0.333, 0.667, 0.438], [0.333, 0.667, 0.219], [0.333, 0.667, 0.000], [0.333, 0.667, 0.781], [0.667, 0.333, 0.105], [0.333, 0.667, 0.562], [0.667, 0.333, 0.670], [0.667, 0.333, 0.330], [0.667, 0.333, 0.895]]}



(3)
{"formula": "LaNd5Dy12", "functional": "PBE", "state": "relaxed", "dos_ef_per_ev_cell": 29.2, "m_tot_mub_per_cell": 0.0, "formation_enthalpy_0k_mev_per_atom": 96, "cell": [[-3.323, -2.188, 10.784], [6.643, -1.800, 7.808], [0.142, 5.863, 1.222]], "species": ["Dy", "Nd", "Nd", "Dy", "Dy", "Dy", "Nd", "Dy", "Dy", "Dy", "Dy", "Dy", "Nd", "Dy", "Dy", "Nd", "Dy", "La"], "fractional_positions": [[0.347, 0.667, 0.944], [0.167, 0.666, 0.500], [0.500, 0.000, 0.500], [0.986, 0.667, 0.056], [0.155, 0.334, 0.444], [0.489, 0.666, 0.444], [0.669, 0.662, 0.000], [0.511, 0.334, 0.556], [0.325, 0.000, 0.051], [0.014, 0.333, 0.944], [0.653, 0.333, 0.056], [0.675, 0.000, 0.949], [0.833, 0.334, 0.500], [0.180, 0.000, 0.551], [0.820, 0.000, 0.449], [0.331, 0.338, 0.000], [0.845, 0.666, 0.556], [0.000, 0.000, 0.000]]}